Compound: SmTmCS
Source: Alexandria
Functional: PBE-GGA
Structure: relaxed

a b c (Å): 3.8226 3.8226 5.2966
angles (deg): 90.00 90.00 90.00
Positions (direct):
C 0.5000 0.5000 0.0000
S 0.0000 0.0000 0.5000
Tm 0.0000 0.0000 0.0000
Sm 0.5000 0.5000 0.5000

Values from the calculation:
The density of states at the Fermi level is 0.247 states/eV per atom. The calculation puts the energy relative to the elements, uncorrected at -1.010 eV per atom.